Below is a relaxed structure of SrAg2Pb, with properties calculated at the PBE-GGA level.

Computed properties:
Formation energy ... -0.54 eV per formula unit
Crystal system ... tetragonal

Cell lengths 5.2513, 5.2513, 5.2513 Å; angles 120.38, 120.38, 89.34 degrees
With the nearest neighbours (Å) after each atom.
Fractional positions:
1 Ag 0.0000 0.0000 0.0000  4 Sr 3.21, 4 Ag 3.21
2 Ag 0.2500 0.7500 0.5000  4 Pb 3.21, 4 Ag 3.21
3 Pb 0.5000 0.5000 0.0000  4 Sr 3.21, 4 Ag 3.21
4 Sr 0.7500 0.2500 0.5000  4 Pb 3.21, 4 Ag 3.21

Below is a relaxed structure of AcTb2Nb, with properties calculated at the PBE-GGA level.

Computed properties:
Formation energy ... 2.76 eV per formula unit
Crystal system ... trigonal

Cell lengths 3.4370, 3.4370, 12.1637 Å; angles 81.88, 81.88, 60.00 degrees
With the nearest neighbours (Å) after each atom.
Fractional positions:
1 Ac 0.5000 0.5000 0.5000  6 Ac 3.44, 6 Tb 3.70
2 Tb 0.0799 0.0799 0.7604  1 Nb 2.88
3 Tb 0.9201 0.9201 0.2396  1 Nb 2.88
4 Nb 0.0000 0.0000 0.0000  2 Tb 2.88

Below is a relaxed structure of Ac4Hg2O, with properties calculated at the PBE-GGA level.

Computed properties:
Energy relative to the elements, uncorrected ... -1.02 eV per atom
Crystal system ... monoclinic
Distance to the lowest polymorph of the same formula ... 0 meV per atom

Cell lengths 7.6051, 7.7665, 8.6840 Å; angles 90.00, 106.34, 90.00 degrees
With the nearest neighbours (Å) after each atom.
Fractional positions:
1 Ac 0.4919 0.5070 0.2519  1 O 2.52
2 Ac 0.0934 0.7500 0.9095  1 O 2.42
3 Ac 0.9066 0.2500 0.0905  1 O 2.42
4 Ac 0.4919 0.9930 0.2519  1 O 2.52
5 Ac 0.9195 0.2500 0.6176  1 O 2.45
6 Ac 0.5081 0.0070 0.7481  1 O 2.52
7 Ac 0.5081 0.4930 0.7481  1 O 2.52
8 Ac 0.0805 0.7500 0.3824  1 O 2.45
9 Hg 0.7275 0.7500 0.0515  6 Ac 3.34-3.40
10 Hg 0.2725 0.2500 0.9485  6 Ac 3.34-3.40
11 Hg 0.2616 0.2500 0.4358  6 Ac 3.34-3.42
12 Hg 0.7384 0.7500 0.5642  6 Ac 3.34-3.42
13 O 0.2634 0.7500 0.1911  4 Ac 2.42-2.52
14 O 0.7366 0.2500 0.8089  4 Ac 2.42-2.52

Below is a relaxed structure of ZrTc2Ru, with properties calculated at the PBE-GGA level.

Computed properties:
Formation energy ... 0.34 eV per formula unit
Crystal system ... orthorhombic
Distance to the lowest polymorph of the same formula ... 145 meV per atom

Cell lengths 2.8761, 3.8287, 5.9396 Å; angles 90.00, 90.00, 90.00 degrees
With the nearest neighbours (Å) after each atom.
Fractional positions:
1 Ru 0.5000 0.5000 0.7500  8 Tc 2.71, 2 Ru 2.88, 2 Zr 2.97
2 Tc 0.0000 0.0000 0.9642  1 Tc 2.54, 4 Ru 2.71
3 Tc 0.0000 0.0000 0.5358  1 Tc 2.54, 4 Ru 2.71
4 Zr 0.5000 0.5000 0.2500  2 Zr 2.88, 8 Tc 2.93, 2 Ru 2.97

Below is a relaxed structure of KGeAsPt2, with properties calculated at the PBE-GGA level.

Computed properties:
Formation energy ... 9.47 eV per formula unit
Crystal system ... tetragonal

Cell lengths 5.0396, 5.2674, 5.0396 Å; angles 90.00, 90.00, 90.00 degrees
With the nearest neighbours (Å) after each atom.
Fractional positions:
1 K 0.0000 0.0000 0.0000  4 Pt 2.52, 2 As 2.63
2 As 0.0000 0.5000 0.0000  2 K 2.63
3 Ge 0.5000 0.5000 0.5000  4 As 3.56, 8 Pt 3.64
4 Pt 0.0000 0.0000 0.5000  2 K 2.52
5 Pt 0.5000 0.0000 0.0000  2 K 2.52

Below is a relaxed structure of MnCrRu3, with properties calculated at the PBE-GGA level.

Computed properties:
Formation energy ... 0.68 eV per formula unit
Crystal system ... triclinic
Distance to the lowest polymorph of the same formula ... 0 meV per atom

Cell lengths 2.6810, 6.1800, 9.0794 Å; angles 65.91, 90.00, 77.44 degrees
With the nearest neighbours (Å) after each atom.
Fractional positions:
1 Mn 0.8615 0.8428 0.1768  3 Mn 2.52-2.68, 7 Ru 2.52-2.79, 2 Cr 2.60
2 Mn 0.8261 0.9180 0.8823  3 Mn 2.52-2.68, 7 Ru 2.52-2.79, 2 Cr 2.60
3 Cr 0.1353 0.2974 0.6879  6 Ru 2.42-2.69, 2 Mn 2.60, 2 Cr 2.68
4 Cr 0.5529 0.4633 0.3712  6 Ru 2.42-2.69, 2 Mn 2.60, 2 Cr 2.68
5 Ru 0.2188 0.1315 0.3019  9 Ru 2.68-2.77, 2 Cr 2.69, 2 Mn 2.79
6 Ru 0.5217 0.5240 0.0847  1 Cr 2.47, 4 Mn 2.67-2.75, 6 Ru 2.68-2.72
7 Ru 0.1665 0.2367 0.9744  1 Cr 2.47, 4 Mn 2.67-2.75, 6 Ru 2.68-2.72
8 Ru 0.7601 0.0487 0.5793  3 Cr 2.42-2.50, 1 Mn 2.52, 5 Ru 2.54-2.71
9 Ru 0.4697 0.6292 0.7572  9 Ru 2.68-2.77, 2 Cr 2.69, 2 Mn 2.79
10 Ru 0.9284 0.7120 0.4798  3 Cr 2.42-2.50, 1 Mn 2.52, 5 Ru 2.54-2.71

| no. | theoretical density (kg/m³) | energy (eV per atom) |
| --- | --- | --- |
| 1 | 8328 | -2.91 |
| 2 | 8626 | -5.17 |
| 3 | 8941 | -4.17 |
| 4 | 9858 | -9.55 |
| 5 | 7160 | -2.60 |
| 6 | 10213 | -9.19 |